Record 1
First-principles (PBE) data for a geometry-optimized PrDyHoAg structure, as listed in Alexandria via LeMat-Bulk.

a = 5.4451 Å, b = 5.4451 Å, c = 5.4451 Å
α = 60.00°, β = 60.00°, γ = 60.00°
Last column: nearest neighbours and their distance in Å.
Fractional coordinates of all 4 atoms:
Pr (0.0000, 0.0000, 0.0000)  4 Ho 3.33, 4 Ag 3.33
Dy (0.5000, 0.5000, 0.5000)  4 Ho 3.33, 4 Ag 3.33
Ho (0.2500, 0.2500, 0.2500)  4 Dy 3.33, 4 Pr 3.33
Ag (0.7500, 0.7500, 0.7500)  4 Pr 3.33, 4 Dy 3.33

Properties
* total magnetization: 0.00 μB/f.u.
* space-group type: No. 216
* energy relative to the elements: 0.07 eV/atom

Record 2
First-principles (PBE) data for a geometry-optimized Er6NiPd5 structure, as listed in Alexandria via LeMat-Bulk.

a = 7.7630 Å, b = 7.7630 Å, c = 6.8603 Å
α = 90.00°, β = 90.00°, γ = 143.00°
Last column: nearest neighbours and their distance in Å.
Fractional coordinates of all 12 atoms:
Er (0.0000, 0.0000, 0.2455)  2 Ni 2.98, 6 Pd 2.99-3.03
Er (0.0000, 0.0000, 0.7545)  2 Ni 2.98, 6 Pd 2.99-3.03
Er (0.3361, 0.6639, 0.2477)  1 Ni 2.95, 7 Pd 2.97-3.02
Er (0.3361, 0.6639, 0.7523)  1 Ni 2.95, 7 Pd 2.97-3.02
Er (0.6639, 0.3361, 0.2477)  1 Ni 2.95, 7 Pd 2.97-3.02
Er (0.6639, 0.3361, 0.7523)  1 Ni 2.95, 7 Pd 2.97-3.02
Ni (0.5000, 0.5000, 0.0000)  8 Er 2.95-2.98
Pd (0.1677, 0.8323, 0.0000)  8 Er 2.99-3.01
Pd (0.1683, 0.8317, 0.5000)  8 Er 3.01-3.03
Pd (0.5000, 0.5000, 0.5000)  8 Er 2.97-3.02
Pd (0.8323, 0.1677, 0.0000)  8 Er 2.99-3.01
Pd (0.8317, 0.1683, 0.5000)  8 Er 3.01-3.03

Properties
* total magnetization: 0.00 μB/f.u.
* space-group type: No. 65
* energy relative to the elements: -0.83 eV/atom

Record 3
First-principles (PBE) data for a geometry-optimized PrErHgRu structure, as listed in Alexandria via LeMat-Bulk.

a = 5.1135 Å, b = 5.1135 Å, c = 5.1135 Å
α = 60.00°, β = 60.00°, γ = 60.00°
Last column: nearest neighbours and their distance in Å.
Fractional coordinates of all 4 atoms:
Pr (0.0000, 0.0000, 0.0000)  4 Ru 3.13, 4 Hg 3.13
Er (0.5000, 0.5000, 0.5000)  4 Ru 3.13, 4 Hg 3.13
Hg (0.2500, 0.2500, 0.2500)  4 Pr 3.13, 4 Er 3.13
Ru (0.7500, 0.7500, 0.7500)  4 Pr 3.13, 4 Er 3.13

Properties
* total magnetization: 0.00 μB/f.u.
* space-group type: No. 216
* energy relative to the elements: -0.28 eV/atom

Record 4
First-principles (PBE) data for a geometry-optimized Ac2TiN3O structure, as listed in Alexandria via LeMat-Bulk.

a = 7.1787 Å, b = 7.1787 Å, c = 7.1787 Å
α = 147.38°, β = 147.26°, γ = 46.89°
Last column: nearest neighbours and their distance in Å.
Fractional coordinates of all 7 atoms:
Ac (0.1426, 0.1426, 0.0000)  7 N 2.60-2.87, 2 O 2.75
Ac (0.8574, 0.8574, 0.0000)  7 N 2.60-2.87, 2 O 2.75
Ti (0.5000, 0.5000, 0.0000)  4 N 2.02-2.11, 2 O 2.02
N (0.3398, 0.3398, 0.0000)  1 Ti 2.11
N (0.5000, 0.0000, 0.5000)  2 Ti 2.02
N (0.6602, 0.6602, 0.0000)  1 Ti 2.11
O (0.0000, 0.5000, 0.5000)  2 Ti 2.02

Properties
* formation energy (no corrections): -1.613 eV per atom
* total magnetization: 0.55 μB/f.u.
* space-group type: No. 71

Record 5
First-principles (PBE) data for a geometry-optimized CaHfS2N structure, as listed in Alexandria via LeMat-Bulk.

a = 4.9972 Å, b = 4.9972 Å, c = 3.9956 Å
α = 90.00°, β = 90.00°, γ = 90.00°
Last column: nearest neighbours and their distance in Å.
Fractional coordinates of all 5 atoms:
Ca (0.0000, 0.0000, 0.0000)  2 N 2.00
Hf (0.5000, 0.5000, 0.5000)  8 S 3.20, 4 N 3.53
S (0.0000, 0.5000, 0.0000)  2 Ca 2.50
S (0.5000, 0.0000, 0.0000)  2 Ca 2.50
N (0.0000, 0.0000, 0.5000)  2 Ca 2.00

Properties
* formation energy (no corrections): 0.510 eV per atom
* total magnetization: 0.29 μB/f.u.
* space-group type: No. 123

Record 6
First-principles (PBE) data for a geometry-optimized Sm2SnRu structure, as listed in Alexandria via LeMat-Bulk.

a = 9.2979 Å, b = 9.2979 Å, c = 9.2979 Å
α = 22.72°, β = 22.72°, γ = 22.72°
Last column: nearest neighbours and their distance in Å.
Fractional coordinates of all 4 atoms:
Sm (0.2370, 0.2370, 0.2370)  3 Ru 2.85
Sm (0.7630, 0.7630, 0.7630)  3 Ru 2.85
Sn (0.0000, 0.0000, 0.0000)  6 Sm 3.36, 6 Sn 3.66
Ru (0.5000, 0.5000, 0.5000)  6 Sm 2.85

Properties
* total magnetization: 0.00 μB/f.u.
* space-group type: No. 166
* energy relative to the elements: -0.24 eV/atom

Record 7
First-principles (PBE) data for a geometry-optimized Tb5TmIn3 structure, as listed in Alexandria via LeMat-Bulk.

a = 9.3581 Å, b = 9.3581 Å, c = 6.7287 Å
α = 90.00°, β = 90.00°, γ = 120.00°
Last column: nearest neighbours and their distance in Å.
Fractional coordinates of all 18 atoms:
Tb (0.0000, 0.3341, 0.2500)  5 In 3.11-3.36
Tb (0.0000, 0.6659, 0.7500)  5 In 3.11-3.36
Tb (0.3333, 0.6667, 0.0000)  8 Tb 3.36-3.54, 6 In 3.55
Tb (0.3333, 0.6667, 0.5000)  8 Tb 3.36-3.54, 6 In 3.55
Tb (0.3341, 0.0000, 0.2500)  5 In 3.11-3.36
Tb (0.3341, 0.3341, 0.7500)  5 In 3.11-3.36
Tb (0.6659, 0.0000, 0.7500)  5 In 3.11-3.36
Tb (0.6659, 0.6659, 0.2500)  5 In 3.11-3.36
Tb (0.6667, 0.3333, 0.0000)  8 Tb 3.36-3.54, 6 In 3.55
Tb (0.6667, 0.3333, 0.5000)  8 Tb 3.36-3.54, 6 In 3.55
Tm (0.0000, 0.0000, 0.0000)  2 Tm 3.36, 6 In 3.52, 6 Tb 3.55
Tm (0.0000, 0.0000, 0.5000)  2 Tm 3.36, 6 In 3.52, 6 Tb 3.55
In (0.0000, 0.3308, 0.7500)  5 Tb 3.11-3.36
In (0.0000, 0.6692, 0.2500)  5 Tb 3.11-3.36
In (0.3308, 0.0000, 0.7500)  5 Tb 3.11-3.36
In (0.3308, 0.3308, 0.2500)  5 Tb 3.11-3.36
In (0.6692, 0.0000, 0.2500)  5 Tb 3.11-3.36
In (0.6692, 0.6692, 0.7500)  5 Tb 3.11-3.36

Properties
* total magnetization: 0.15 μB/f.u.
* space-group type: No. 193
* energy relative to the elements: -0.35 eV/atom

Record 8
First-principles (PBE) data for a geometry-optimized Tb5Co2Hg structure, as listed in Alexandria via LeMat-Bulk.

a = 8.5671 Å, b = 8.5671 Å, c = 8.5671 Å
α = 127.02°, β = 127.02°, γ = 78.21°
Last column: nearest neighbours and their distance in Å.
Fractional coordinates of all 16 atoms:
Tb (0.0000, 0.0000, 0.0000)  4 Co 2.98, 2 Hg 3.32
Tb (0.0289, 0.5289, 0.8227)  3 Co 2.82-2.87
Tb (0.2062, 0.0289, 0.5000)  3 Co 2.82-2.87
Tb (0.2938, 0.7938, 0.8227)  3 Co 2.82-2.87
Tb (0.4711, 0.2938, 0.5000)  3 Co 2.82-2.87
Tb (0.5000, 0.5000, 0.0000)  4 Co 2.98, 2 Hg 3.32
Tb (0.5289, 0.7062, 0.5000)  3 Co 2.82-2.87
Tb (0.7062, 0.2062, 0.1773)  3 Co 2.82-2.87
Tb (0.7938, 0.9711, 0.5000)  3 Co 2.82-2.87
Tb (0.9711, 0.4711, 0.1773)  3 Co 2.82-2.87
Co (0.1347, 0.3653, 0.5000)  8 Tb 2.82-2.98, 1 Co 2.91
Co (0.3653, 0.8653, 0.2306)  8 Tb 2.82-2.98, 1 Co 2.91
Co (0.6347, 0.1347, 0.7694)  8 Tb 2.82-2.98, 1 Co 2.91
Co (0.8653, 0.6347, 0.5000)  8 Tb 2.82-2.98, 1 Co 2.91
Hg (0.2500, 0.2500, 0.0000)  10 Tb 3.27-3.32
Hg (0.7500, 0.7500, 0.0000)  10 Tb 3.27-3.32

Properties
* total magnetization: 0.00 μB/f.u.
* space-group type: No. 140
* energy relative to the elements: -0.26 eV/atom

Record 9
First-principles (PBE) data for a geometry-optimized VCI structure, as listed in Alexandria via LeMat-Bulk.

a = 3.9061 Å, b = 3.9061 Å, c = 9.5148 Å
α = 90.00°, β = 90.00°, γ = 90.00°
Last column: nearest neighbours and their distance in Å.
Fractional coordinates of all 6 atoms:
V (0.2500, 0.2500, 0.0369)  4 C 1.98
V (0.7500, 0.7500, 0.9631)  4 C 1.98
C (0.2500, 0.7500, 0.0000)  4 V 1.98
C (0.7500, 0.2500, 0.0000)  4 V 1.98
I (0.2500, 0.2500, 0.3046)  1 V 2.55
I (0.7500, 0.7500, 0.6954)  1 V 2.55

Properties
* formation energy (no corrections): -0.047 eV per atom
* total magnetization: 0.00 μB/f.u.
* space-group type: No. 129

Record 10
First-principles (PBE) data for a geometry-optimized ZrTa2Ga2Ir2 structure, as listed in Alexandria via LeMat-Bulk.

a = 8.2771 Å, b = 8.2771 Å, c = 8.2771 Å
α = 30.50°, β = 30.50°, γ = 30.50°
Last column: nearest neighbours and their distance in Å.
Fractional coordinates of all 7 atoms:
Zr (0.0000, 0.0000, 0.0000)  6 Ga 2.91, 2 Ta 3.00
Ta (0.1269, 0.1269, 0.1269)  4 Ir 2.61-2.62
Ta (0.8731, 0.8731, 0.8731)  4 Ir 2.61-2.62
Ga (0.3952, 0.3952, 0.3952)  3 Ir 2.64, 3 Zr 2.91, 3 Ta 2.95
Ga (0.6048, 0.6048, 0.6048)  3 Ir 2.64, 3 Zr 2.91, 3 Ta 2.95
Ir (0.2374, 0.2374, 0.2374)  4 Ta 2.61-2.62, 3 Ga 2.64
Ir (0.7626, 0.7626, 0.7626)  4 Ta 2.61-2.62, 3 Ga 2.64

Properties
* total magnetization: 0.00 μB/f.u.
* space-group type: No. 166
* energy relative to the elements: -0.54 eV/atom

no.,volume (Å³/atom),E_tot (eV/atom),N(E_F) (states/eV/f.u.)
1,28.5,-4.135,4.13
2,20.7,-5.761,8.37
3,23.6,-5.007,3.14
4,15.3,-8.191,4.62
5,20.0,-5.197,2.74
6,26.3,-5.916,3.36
7,28.4,-4.336,10.54
8,24.3,-4.971,7.31
9,24.2,-6.678,0.85
10,18.5,-8.547,2.57